(1)
{
  "formula": "RuSeBr2",
  "functional": "GGA-PBE",
  "state": "optimized geometry",
  "lattice_angstrom": [[3.2737, -1.8906, 0.0000], [3.2737, 1.8906, 0.0000], [-0.0907, 0.0000, 8.3622]],
  "species": ["Ru", "Se", "Br", "Br"],
  "frac_coords": [[0.0000, 0.0000, 0.0000], [0.6649, 0.6649, 0.8772], [0.3361, 0.3361, 0.1850], [0.6611, 0.6611, 0.5880]],
  "e_tot_ev_per_atom": -4.2162,
  "magmom_total_mub_per_cell": 0.000,
  "e_form_raw_kj_per_mol_fu": -73.2
}

(2)
{
  "formula": "TlSi2Ru2",
  "functional": "GGA-PBE",
  "state": "optimized geometry",
  "lattice_angstrom": [[7.3462, 0.0000, 0.0000], [0.0000, 7.3462, 0.0000], [0.0000, 0.0000, 2.8757]],
  "species": ["Tl", "Tl", "Si", "Si", "Si", "Si", "Ru", "Ru", "Ru", "Ru"],
  "frac_coords": [[0.0000, 0.0000, 0.0000], [0.5000, 0.5000, 0.0000], [0.1332, 0.3668, 0.0000], [0.3668, 0.8668, 0.0000], [0.6332, 0.1332, 0.0000], [0.8668, 0.6332, 0.0000], [0.1488, 0.6488, 0.5000], [0.3512, 0.1488, 0.5000], [0.6488, 0.8512, 0.5000], [0.8512, 0.3512, 0.5000]],
  "e_tot_ev_per_atom": -6.3674,
  "magmom_total_mub_per_cell": 0.000,
  "dos_ef_per_ev_fu": 2.80,
  "e_form_raw_kj_per_mol_fu": -7.0
}

(3)
{
  "formula": "CsSrS2N",
  "functional": "GGA-PBE",
  "state": "optimized geometry",
  "lattice_angstrom": [[5.6857, 0.0000, 0.0000], [0.0000, 5.6857, 0.0000], [0.0000, 0.0000, 4.5040]],
  "species": ["Cs", "Sr", "S", "S", "N"],
  "frac_coords": [[0.0000, 0.0000, 0.0000], [0.5000, 0.5000, 0.5000], [0.0000, 0.5000, 0.0000], [0.5000, 0.0000, 0.0000], [0.0000, 0.0000, 0.5000]],
  "e_tot_ev_per_atom": -3.1206,
  "magmom_total_mub_per_cell": 1.807,
  "dos_ef_per_ev_fu": 3.01,
  "e_form_raw_kj_per_mol_fu": 338.9
}

(4)
{
  "formula": "ZnAg2Au",
  "functional": "GGA-PBE",
  "state": "optimized geometry",
  "lattice_angstrom": [[2.9307, 0.0000, 0.0000], [0.0000, 4.3430, 0.0000], [-1.1371, 0.0000, 5.4107]],
  "species": ["Zn", "Ag", "Ag", "Au"],
  "frac_coords": [[0.0000, 0.0000, 0.0000], [0.4151, 0.5000, 0.2393], [0.5849, 0.5000, 0.7607], [0.0000, 0.0000, 0.5000]],
  "e_tot_ev_per_atom": -2.6085,
  "magmom_total_mub_per_cell": 0.000,
  "delta_e_f_ev_per_atom": -0.045,
  "dos_ef_per_ev_fu": 1.05
}

(5)
{
  "formula": "KAl4Ir",
  "functional": "GGA-PBE",
  "state": "optimized geometry",
  "lattice_angstrom": [[0.0000, 3.7963, 3.7963], [3.7963, 0.0000, 3.7963], [3.7963, 3.7963, 0.0000]],
  "species": ["K", "Al", "Al", "Al", "Al", "Ir"],
  "frac_coords": [[0.0000, 0.0000, 0.0000], [0.1286, 0.6238, 0.6238], [0.6238, 0.1286, 0.6238], [0.6238, 0.6238, 0.1286], [0.6238, 0.6238, 0.6238], [0.2500, 0.2500, 0.2500]],
  "e_tot_ev_per_atom": -3.8406,
  "magmom_total_mub_per_cell": 0.000,
  "delta_e_f_ev_per_atom": 0.314,
  "dos_ef_per_ev_fu": 3.21
}

(6)
{
  "formula": "SrLiAl2B2O7",
  "functional": "GGA-PBE",
  "state": "optimized geometry",
  "lattice_angstrom": [[2.5004, 1.4436, 8.1450], [-2.5004, 1.4436, 8.1450], [0.0000, -2.8872, 8.1450]],
  "species": ["Sr", "Li", "Al", "Al", "B", "B", "O", "O", "O", "O", "O", "O", "O"],
  "frac_coords": [[0.0000, 0.0000, 0.0000], [0.6577, 0.6577, 0.6577], [0.4192, 0.4192, 0.4192], [0.5567, 0.5567, 0.5567], [0.2591, 0.2591, 0.2591], [0.7434, 0.7434, 0.7434], [0.0253, 0.4924, 0.6427], [0.3518, 0.4836, 0.9492], [0.4836, 0.9492, 0.3518], [0.4887, 0.4887, 0.4887], [0.4924, 0.6427, 0.0253], [0.6427, 0.0253, 0.4924], [0.9492, 0.3518, 0.4836]],
  "e_tot_ev_per_atom": -6.9926,
  "magmom_total_mub_per_cell": 0.997,
  "dos_ef_per_ev_fu": 1.55,
  "e_form_raw_kj_per_mol_fu": -3064.5
}

(7)
{
  "formula": "LiGaBiS2",
  "functional": "GGA-PBE",
  "state": "optimized geometry",
  "lattice_angstrom": [[4.8114, 0.0000, 0.0000], [0.0000, 4.8114, 0.0000], [0.0000, 0.0000, 4.4171]],
  "species": ["Li", "Ga", "Bi", "S", "S"],
  "frac_coords": [[0.0000, 0.0000, 0.0000], [0.0000, 0.0000, 0.5000], [0.5000, 0.5000, 0.5000], [0.0000, 0.5000, 0.0000], [0.5000, 0.0000, 0.0000]],
  "e_tot_ev_per_atom": -3.3799,
  "magmom_total_mub_per_cell": 0.000,
  "dos_ef_per_ev_fu": 2.31,
  "e_form_raw_kj_per_mol_fu": 17.1
}

(8)
{
  "formula": "LiSnB",
  "functional": "GGA-PBE",
  "state": "optimized geometry",
  "lattice_angstrom": [[3.6710, 0.0000, 0.0000], [0.0000, 3.6710, 0.0000], [0.0000, 0.0000, 6.2746]],
  "species": ["Li", "Li", "Sn", "Sn", "B", "B"],
  "frac_coords": [[0.2500, 0.7500, 0.0000], [0.7500, 0.2500, 0.0000], [0.2500, 0.2500, 0.3421], [0.7500, 0.7500, 0.6579], [0.2500, 0.2500, 0.7269], [0.7500, 0.7500, 0.2731]],
  "e_tot_ev_per_atom": -3.7819,
  "magmom_total_mub_per_cell": 0.000,
  "delta_e_f_ev_per_atom": 0.416,
  "dos_ef_per_ev_fu": 1.08
}

(9)
{
  "formula": "PuBrF2",
  "functional": "GGA-PBE",
  "state": "optimized geometry",
  "lattice_angstrom": [[2.0376, 1.1764, 5.2204], [-2.0376, 1.1764, 5.2204], [0.0000, -2.3528, 5.2204]],
  "species": ["Pu", "Br", "F", "F"],
  "frac_coords": [[0.0000, 0.0000, 0.0000], [0.5000, 0.5000, 0.5000], [0.3009, 0.3009, 0.3009], [0.6991, 0.6991, 0.6991]],
  "e_tot_ev_per_atom": -7.7482,
  "magmom_total_mub_per_cell": 5.000,
  "dos_ef_per_ev_fu": 5.91,
  "e_form_raw_kj_per_mol_fu": -1085.0
}

(10)
{
  "formula": "Mg3AgS",
  "functional": "GGA-PBE",
  "state": "optimized geometry",
  "lattice_angstrom": [[5.0460, 0.0000, 0.0000], [0.0000, 5.0460, 0.0000], [0.0000, 0.0000, 5.0460]],
  "species": ["Mg", "Mg", "Mg", "Ag", "S"],
  "frac_coords": [[0.0000, 0.0000, 0.5000], [0.0000, 0.5000, 0.0000], [0.5000, 0.0000, 0.0000], [0.0000, 0.0000, 0.0000], [0.5000, 0.5000, 0.5000]],
  "e_tot_ev_per_atom": -2.1934,
  "magmom_total_mub_per_cell": 0.000,
  "dos_ef_per_ev_fu": 2.44,
  "e_form_raw_kj_per_mol_fu": 76.8
}

(11)
{
  "formula": "Be2SN",
  "functional": "GGA-PBE",
  "state": "optimized geometry",
  "lattice_angstrom": [[0.0000, 2.6839, 2.6839], [2.6839, 0.0000, 2.6839], [2.6839, 2.6839, 0.0000]],
  "species": ["Be", "Be", "S", "N"],
  "frac_coords": [[0.2500, 0.2500, 0.2500], [0.7500, 0.7500, 0.7500], [0.0000, 0.0000, 0.0000], [0.5000, 0.5000, 0.5000]],
  "e_tot_ev_per_atom": -4.1120,
  "magmom_total_mub_per_cell": 0.000,
  "dos_ef_per_ev_fu": 2.00,
  "e_form_raw_kj_per_mol_fu": 333.6
}

(12)
{
  "formula": "BeSiCl2",
  "functional": "GGA-PBE",
  "state": "optimized geometry",
  "lattice_angstrom": [[-1.7848, 1.7848, 6.2936], [1.7848, -1.7848, 6.2936], [1.7848, 1.7848, -6.2936]],
  "species": ["Be", "Si", "Cl", "Cl"],
  "frac_coords": [[0.0000, 0.0000, 0.0000], [0.7500, 0.2500, 0.5000], [0.2500, 0.7500, 0.5000], [0.5000, 0.5000, 0.0000]],
  "e_tot_ev_per_atom": -2.7114,
  "magmom_total_mub_per_cell": 0.000,
  "dos_ef_per_ev_fu": 1.74,
  "e_form_raw_kj_per_mol_fu": 192.7
}

(13)
{
  "formula": "CaCrCl2",
  "functional": "GGA-PBE",
  "state": "optimized geometry",
  "lattice_angstrom": [[-2.9493, 2.9493, 6.4515], [2.9493, -2.9493, 6.4515], [2.9493, 2.9493, -6.4515]],
  "species": ["Ca", "Ca", "Cr", "Cr", "Cl", "Cl", "Cl", "Cl"],
  "frac_coords": [[0.0000, 0.0000, 0.0000], [0.7500, 0.2500, 0.5000], [0.2500, 0.7500, 0.5000], [0.5000, 0.5000, 0.0000], [0.1534, 0.6250, 0.0284], [0.3750, 0.4034, 0.5284], [0.5966, 0.1250, 0.9716], [0.8750, 0.8466, 0.4716]],
  "e_tot_ev_per_atom": -4.5744,
  "magmom_total_mub_per_cell": 9.161,
  "dos_ef_per_ev_fu": 2.93,
  "e_form_raw_kj_per_mol_fu": -287.5
}

(14)
{
  "formula": "BaCa2In2",
  "functional": "GGA-PBE",
  "state": "optimized geometry",
  "lattice_angstrom": [[5.2919, 0.0000, 0.0000], [2.6408, 6.5238, 0.0000], [2.6310, 0.0035, 11.1032]],
  "species": ["Ba", "Ba", "Ca", "Ca", "Ca", "Ca", "In", "In", "In", "In"],
  "frac_coords": [[0.1250, 0.2495, 0.2502], [0.8750, 0.7505, 0.7498], [0.2516, 0.7505, 0.9987], [0.4983, 0.7505, 0.5009], [0.5017, 0.2495, 0.4991], [0.7484, 0.2495, 0.0013], [0.1963, 0.1066, 0.7501], [0.4467, 0.6057, 0.2499], [0.5533, 0.3943, 0.7501], [0.8037, 0.8934, 0.2499]],
  "e_tot_ev_per_atom": -2.4691,
  "magmom_total_mub_per_cell": 0.000,
  "delta_e_f_ev_per_atom": -0.189,
  "dos_ef_per_ev_fu": 3.45
}

(15)
{
  "formula": "BaLa2AgRu",
  "functional": "GGA-PBE",
  "state": "optimized geometry",
  "lattice_angstrom": [[5.3532, 0.0000, 0.0000], [0.0000, 5.3532, 0.0000], [0.0000, 0.0000, 5.7976]],
  "species": ["Ba", "La", "La", "Ag", "Ru"],
  "frac_coords": [[0.0000, 0.0000, 0.0000], [0.0000, 0.5000, 0.5000], [0.5000, 0.0000, 0.5000], [0.5000, 0.5000, 0.0000], [0.5000, 0.5000, 0.5000]],
  "e_tot_ev_per_atom": -4.8390,
  "magmom_total_mub_per_cell": 0.000,
  "delta_e_f_ev_per_atom": -0.058,
  "dos_ef_per_ev_fu": 4.96
}

(16)
{
  "formula": "K3In3OsO8",
  "functional": "GGA-PBE",
  "state": "optimized geometry",
  "lattice_angstrom": [[3.3181, 1.9157, 6.2130], [-3.3181, 1.9157, 6.2130], [0.0000, -3.8314, 6.2130]],
  "species": ["K", "K", "K", "In", "In", "In", "Os", "O", "O", "O", "O", "O", "O", "O", "O"],
  "frac_coords": [[0.0000, 0.5000, 0.5000], [0.5000, 0.0000, 0.5000], [0.5000, 0.5000, 0.0000], [0.0000, 0.0000, 0.5000], [0.0000, 0.5000, 0.0000], [0.5000, 0.0000, 0.0000], [0.5000, 0.5000, 0.5000], [0.2279, 0.2279, 0.2279], [0.2516, 0.7097, 0.7097], [0.2903, 0.2903, 0.7484], [0.2903, 0.7484, 0.2903], [0.7097, 0.2516, 0.7097], [0.7097, 0.7097, 0.2516], [0.7484, 0.2903, 0.2903], [0.7721, 0.7721, 0.7721]],
  "e_tot_ev_per_atom": -5.5915,
  "magmom_total_mub_per_cell": 2.000,
  "dos_ef_per_ev_fu": 4.33,
  "e_form_raw_kj_per_mol_fu": -2071.5
}

(17)
{
  "formula": "YHf2Th",
  "functional": "GGA-PBE",
  "state": "optimized geometry",
  "lattice_angstrom": [[4.7726, 0.0000, 0.0000], [0.0000, 4.7726, 0.0000], [0.0000, 0.0000, 4.6859]],
  "species": ["Y", "Hf", "Hf", "Th"],
  "frac_coords": [[0.0000, 0.0000, 0.0000], [0.0000, 0.5000, 0.5000], [0.5000, 0.0000, 0.5000], [0.5000, 0.5000, 0.0000]],
  "e_tot_ev_per_atom": -8.2781,
  "magmom_total_mub_per_cell": 0.000,
  "delta_e_f_ev_per_atom": 0.170,
  "dos_ef_per_ev_fu": 5.16
}

(18)
{
  "formula": "CsScBr2F",
  "functional": "GGA-PBE",
  "state": "optimized geometry",
  "lattice_angstrom": [[5.8125, 0.0000, 0.0000], [0.0000, 5.8125, 0.0000], [0.0000, 0.0000, 4.2359]],
  "species": ["Cs", "Sc", "Br", "Br", "F"],
  "frac_coords": [[0.0000, 0.0000, 0.0000], [0.5000, 0.5000, 0.5000], [0.0000, 0.5000, 0.5000], [0.5000, 0.0000, 0.5000], [0.5000, 0.5000, 0.0000]],
  "e_tot_ev_per_atom": -4.5719,
  "magmom_total_mub_per_cell": 1.001,
  "dos_ef_per_ev_fu": 1.51,
  "e_form_raw_kj_per_mol_fu": -1009.0
}

(19)
{
  "formula": "ZrGe2Os",
  "functional": "GGA-PBE",
  "state": "optimized geometry",
  "lattice_angstrom": [[0.0000, 3.2074, 3.2074], [3.2074, 0.0000, 3.2074], [3.2074, 3.2074, 0.0000]],
  "species": ["Zr", "Ge", "Ge", "Os"],
  "frac_coords": [[0.0000, 0.0000, 0.0000], [0.2500, 0.2500, 0.2500], [0.7500, 0.7500, 0.7500], [0.5000, 0.5000, 0.5000]],
  "e_tot_ev_per_atom": -7.3304,
  "magmom_total_mub_per_cell": 0.002,
  "delta_e_f_ev_per_atom": -0.077,
  "dos_ef_per_ev_fu": 4.15
}